[1]
The following is a PBE calculation of a geometry-optimized NaReSbTe2 structure, from Alexandria.

Properties
The space-group type is P4/mmm. The value obtained for the energy above the most stable polymorph in this dataset is 0.0 kJ/mol of atoms.

Unit cell a=5.4959 b=5.4959 c=5.1513 alpha=90.00 beta=90.00 gamma=90.00
Closest atoms and distances in Å follow each position.
Fractional positions:
Na 0.0000 0.0000 0.0000  8 Te 3.77, 4 Sb 3.89
Re 0.5000 0.5000 0.5000  2 Sb 2.58, 4 Te 2.75
Sb 0.5000 0.5000 0.0000  2 Re 2.58
Te 0.0000 0.5000 0.5000  2 Re 2.75
Te 0.5000 0.0000 0.5000  2 Re 2.75

[2]
The following is a PBE calculation of a geometry-optimized NaZn2ReSb structure, from Alexandria.

Properties
The space-group type is P4/mmm. Its total energy is -2.938 eV/atom.

Unit cell a=5.2839 b=5.2839 c=5.0819 alpha=90.00 beta=90.00 gamma=90.00
Closest atoms and distances in Å follow each position.
Fractional positions:
Na 0.0000 0.0000 0.0000  8 Zn 3.67, 4 Re 3.74
Zn 0.0000 0.5000 0.5000  2 Sb 2.64
Zn 0.5000 0.0000 0.5000  2 Sb 2.64
Re 0.5000 0.5000 0.0000  2 Sb 2.54
Sb 0.5000 0.5000 0.5000  2 Re 2.54, 4 Zn 2.64

[3]
The following is a PBE calculation of a geometry-optimized Na2ScRe structure, from Alexandria.

Properties
The space-group type is Fm-3m. The value obtained for the energy above the most stable polymorph in this dataset is 34.7 kJ/mol of atoms. The energy of formation is 4.9 eV/f.u.

Unit cell a=4.9058 b=4.9058 c=4.9058 alpha=60.00 beta=60.00 gamma=60.00
Closest atoms and distances in Å follow each position.
Fractional positions:
Na 0.2500 0.2500 0.2500  4 Re 3.00, 4 Sc 3.00
Na 0.7500 0.7500 0.7500  4 Re 3.00, 4 Sc 3.00
Sc 0.0000 0.0000 0.0000  8 Na 3.00
Re 0.5000 0.5000 0.5000  8 Na 3.00

[4]
The following is a PBE calculation of a geometry-optimized Na2ScRe structure, from Alexandria.

Properties
The space-group type is I-42d. The value obtained for the energy above the most stable polymorph in this dataset is 0.0 kJ/mol of atoms. The energy of formation is 3.4 eV/f.u.

Unit cell a=12.0175 b=12.0175 c=12.0175 alpha=161.56 beta=161.56 gamma=26.19
Closest atoms and distances in Å follow each position.
Fractional positions:
Na 0.1122 0.6250 0.9872  4 Na 2.65-2.79
Na 0.3750 0.3622 0.4872  4 Na 2.65-2.79
Na 0.6378 0.1250 0.0128  4 Na 2.65-2.79
Na 0.8750 0.8878 0.5128  4 Na 2.65-2.79
Sc 0.2500 0.7500 0.5000  4 Re 2.72
Sc 0.5000 0.5000 0.0000  4 Re 2.72
Re 0.0000 0.0000 0.0000  4 Sc 2.72
Re 0.7500 0.2500 0.5000  4 Sc 2.72

[5]
The following is a PBE calculation of a geometry-optimized NaSc2ZnRe structure, from Alexandria.

Properties
The space-group type is P4/mmm. The energy of formation is 7.4 eV/f.u.

Unit cell a=4.8848 b=4.8848 c=4.2774 alpha=90.00 beta=90.00 gamma=90.00
Closest atoms and distances in Å follow each position.
Fractional positions:
Na 0.0000 0.0000 0.0000  2 Zn 2.14
Sc 0.0000 0.5000 0.0000  2 Na 2.44
Sc 0.5000 0.0000 0.0000  2 Na 2.44
Zn 0.0000 0.0000 0.5000  2 Na 2.14
Re 0.5000 0.5000 0.5000  8 Sc 3.25, 4 Zn 3.45

[6]
The following is a PBE calculation of a geometry-optimized NaReSe4 structure, from Alexandria.

Properties
The space-group type is C2/m. Its total energy is -4.884 eV/atom.

Unit cell a=8.3209 b=8.3209 c=6.1837 alpha=111.71 beta=111.71 gamma=56.37
Closest atoms and distances in Å follow each position.
Fractional positions:
Na 0.1863 0.1863 0.1811  4 Se 3.03-3.13
Na 0.8137 0.8137 0.8189  4 Se 3.03-3.13
Re 0.5001 0.5001 0.2184  8 Se 2.57-2.63, 1 Re 2.70
Re 0.4999 0.4999 0.7816  8 Se 2.57-2.63, 1 Re 2.70
Se 0.2184 0.5745 0.3967  2 Re 2.63, 2 Se 2.76-2.80
Se 0.2213 0.7787 0.0000  2 Re 2.57
Se 0.3359 0.3359 0.8370  2 Re 2.57
Se 0.4255 0.7816 0.6033  2 Re 2.63, 2 Se 2.76-2.80
Se 0.5745 0.2184 0.3967  2 Re 2.63, 2 Se 2.76-2.80
Se 0.6641 0.6641 0.1630  2 Re 2.57
Se 0.7787 0.2213 0.0000  2 Re 2.57
Se 0.7816 0.4255 0.6033  2 Re 2.63, 2 Se 2.76-2.80

[7]
The following is a PBE calculation of a geometry-optimized NaRe3Se structure, from Alexandria.

Properties
The space-group type is Pm-3m. The value obtained for the energy above the most stable polymorph in this dataset is 0.0 kJ/mol of atoms.

Unit cell a=4.6080 b=4.6080 c=4.6080 alpha=90.00 beta=90.00 gamma=90.00
Closest atoms and distances in Å follow each position.
Fractional positions:
Na 0.0000 0.0000 0.0000  12 Re 3.26
Re 0.0000 0.5000 0.5000  2 Se 2.30
Re 0.5000 0.0000 0.5000  2 Se 2.30
Re 0.5000 0.5000 0.0000  2 Se 2.30
Se 0.5000 0.5000 0.5000  6 Re 2.30

[8]
The following is a PBE calculation of a geometry-optimized NaReSe3 structure, from Alexandria.

Properties
The space-group type is Pm-3m. The value obtained for the energy above the most stable polymorph in this dataset is 33.4 kJ/mol of atoms.

Unit cell a=4.9791 b=4.9791 c=4.9791 alpha=90.00 beta=90.00 gamma=90.00
Closest atoms and distances in Å follow each position.
Fractional positions:
Na 0.0000 0.0000 0.0000  12 Se 3.52
Re 0.5000 0.5000 0.5000  6 Se 2.49
Se 0.0000 0.5000 0.5000  2 Re 2.49
Se 0.5000 0.0000 0.5000  2 Re 2.49
Se 0.5000 0.5000 0.0000  2 Re 2.49

[9]
The following is a PBE calculation of a geometry-optimized Na2ReSe5 structure, from Alexandria.

Properties
The space-group type is Cm. Its total energy is -4.457 eV/atom.

Unit cell a=6.9462 b=6.9462 c=5.7774 alpha=114.55 beta=114.55 gamma=76.48
Closest atoms and distances in Å follow each position.
Fractional positions:
Na 0.0000 0.0000 0.0000  6 Se 2.95-3.30
Na 0.5028 0.5028 0.5016  4 Se 3.20
Re 0.1814 0.1814 0.6813  5 Se 2.27-2.45
Se 0.0500 0.4675 0.0201  1 Re 2.45
Se 0.0500 0.4675 0.4970  1 Re 2.45
Se 0.4675 0.0500 0.0201  1 Re 2.45
Se 0.4675 0.0500 0.4970  1 Re 2.45
Se 0.9368 0.9368 0.4368  1 Re 2.27

[10]
The following is a PBE calculation of a geometry-optimized Na2ReSe structure, from Alexandria.

Properties
The space-group type is I-42d. Its total energy is -4.014 eV/atom.

Unit cell a=7.4903 b=7.4903 c=7.4903 alpha=95.60 beta=95.60 gamma=143.60
Closest atoms and distances in Å follow each position.
Fractional positions:
Na 0.3750 0.2476 0.3726  2 Se 2.86
Na 0.7524 0.1250 0.1274  2 Se 2.86
Na 0.8750 0.0024 0.6274  2 Se 2.86
Na 0.9976 0.6250 0.8726  2 Se 2.86
Re 0.2500 0.7500 0.5000  2 Se 2.34
Re 0.5000 0.5000 0.0000  2 Se 2.34
Se 0.0000 0.0000 0.0000  2 Re 2.34
Se 0.7500 0.2500 0.5000  2 Re 2.34

[11]
The following is a PBE calculation of a geometry-optimized Na2Re3Se6 structure, from Alexandria.

Properties
The space-group type is C2/c. Its total energy is -6.142 eV/atom.

Unit cell a=9.7876 b=9.7876 c=12.1599 alpha=92.17 beta=92.17 gamma=62.14
Closest atoms and distances in Å follow each position.
Fractional positions:
Na 0.0738 0.9262 0.7500  2 Se 2.92
Na 0.1595 0.6038 0.9999  5 Se 3.01-3.31
Na 0.2819 0.7181 0.2500  6 Se 3.03-3.23
Na 0.3962 0.8405 0.5001  5 Se 3.01-3.31
Na 0.6038 0.1595 0.4999  5 Se 3.01-3.31
Na 0.7181 0.2819 0.7500  6 Se 3.03-3.23
Na 0.8405 0.3962 0.0001  5 Se 3.01-3.31
Na 0.9262 0.0738 0.2500  2 Se 2.92
Re 0.0208 0.3876 0.6281  5 Se 2.54-2.66, 4 Re 2.65-2.67
Re 0.0967 0.3129 0.4173  5 Se 2.53-2.67, 4 Re 2.65-2.67
Re 0.1921 0.4903 0.5317  5 Se 2.53-2.58, 4 Re 2.65-2.66
Re 0.3129 0.0967 0.9173  5 Se 2.53-2.67, 4 Re 2.65-2.67
Re 0.3876 0.0208 0.1281  5 Se 2.54-2.66, 4 Re 2.65-2.67
Re 0.4903 0.1921 0.0317  5 Se 2.53-2.58, 4 Re 2.65-2.66
Re 0.5097 0.8079 0.9683  5 Se 2.53-2.58, 4 Re 2.65-2.66
Re 0.6124 0.9792 0.8719  5 Se 2.54-2.66, 4 Re 2.65-2.67
Re 0.6871 0.9033 0.0827  5 Se 2.53-2.67, 4 Re 2.65-2.67
Re 0.8079 0.5097 0.4683  5 Se 2.53-2.58, 4 Re 2.65-2.66
Re 0.9033 0.6871 0.5827  5 Se 2.53-2.67, 4 Re 2.65-2.67
Re 0.9792 0.6124 0.3719  5 Se 2.54-2.66, 4 Re 2.65-2.67
Se 0.0420 0.2320 0.8076  2 Re 2.66-2.67, 1 Na 2.92
Se 0.0759 0.7774 0.4865  3 Re 2.56-2.57
Se 0.1118 0.5640 0.7315  3 Re 2.55-2.56
Se 0.2021 0.2955 0.0734  3 Re 2.54-2.58
Se 0.2226 0.9241 0.0135  3 Re 2.56-2.57
Se 0.2320 0.0420 0.3076  2 Re 2.66-2.67, 1 Na 2.92
Se 0.2573 0.4198 0.3311  3 Re 2.53-2.54
Se 0.2955 0.2021 0.5734  3 Re 2.54-2.58
Se 0.4198 0.2573 0.8311  3 Re 2.53-2.54
Se 0.4360 0.8882 0.7685  3 Re 2.55-2.56
Se 0.4501 0.4882 0.5875  1 Se 2.44, 1 Re 2.58
Se 0.4882 0.4501 0.0875  1 Se 2.44, 1 Re 2.58
Se 0.5118 0.5499 0.9125  1 Se 2.44, 1 Re 2.58
Se 0.5499 0.5118 0.4125  1 Se 2.44, 1 Re 2.58
Se 0.5640 0.1118 0.2315  3 Re 2.55-2.56
Se 0.5802 0.7427 0.1689  3 Re 2.53-2.54
Se 0.7045 0.7979 0.4266  3 Re 2.54-2.58
Se 0.7427 0.5802 0.6689  3 Re 2.53-2.54
Se 0.7680 0.9580 0.6924  2 Re 2.66-2.67, 1 Na 2.92
Se 0.7774 0.0759 0.9865  3 Re 2.56-2.57
Se 0.7979 0.7045 0.9266  3 Re 2.54-2.58
Se 0.8882 0.4360 0.2685  3 Re 2.55-2.56
Se 0.9241 0.2226 0.5135  3 Re 2.56-2.57
Se 0.9580 0.7680 0.1924  2 Re 2.66-2.67, 1 Na 2.92

[12]
The following is a PBE calculation of a geometry-optimized NaRe3Se structure, from Alexandria.

Properties
The space-group type is Pm-3m. The value obtained for the energy above the most stable polymorph in this dataset is 149.8 kJ/mol of atoms.

Unit cell a=4.5640 b=4.5640 c=4.5640 alpha=90.00 beta=90.00 gamma=90.00
Closest atoms and distances in Å follow each position.
Fractional positions:
Na 0.0000 0.0000 0.0000  6 Re 2.28
Re 0.0000 0.0000 0.5000  2 Na 2.28
Re 0.0000 0.5000 0.0000  2 Na 2.28
Re 0.5000 0.0000 0.0000  2 Na 2.28
Se 0.5000 0.5000 0.5000  12 Re 3.23

no.,total magnetization (μB/f.u.),mass density (g/cm³)
1,1.52,6.26
2,1.68,5.40
3,1.56,5.51
4,0.00,5.30
5,0.00,5.93
6,0.00,5.39
7,1.03,11.21
8,0.00,6.00
9,0.00,4.53
10,1.66,4.36
11,0.00,6.96
12,3.95,11.54